Below is LaEr4Bi5 after structural relaxation, with properties calculated at the PBE level.

Cell lengths 14.910, 4.506, 11.025 Å; angles 90.00, 119.47, 90.00 degrees
Space group C2/m (No. 12)
One atom of each set of equivalent atoms:
La 0.000 0.000 0.000 [2 per cell]
Er 0.096 0.500 0.397 [4 per cell]
Er 0.202 0.000 0.795 [4 per cell]
Bi 0.000 0.000 0.500 [2 per cell]
Bi 0.107 0.500 0.896 [4 per cell]
Bi 0.203 0.000 0.310 [4 per cell]

Summary:
The energy of formation comes out at -0.85 eV/atom. The calculation puts the magnetic moment at 0.0 Bohr magnetons per cell.